An optimized crystal structure of BaPtRh. Source: Alexandria via LeMat-Bulk, functional PBE.

Cell and atoms, written as extended XYZ:
```
3
Lattice="0.000 3.366 3.366 3.366 0.000 3.366 3.366 3.366 0.000" Properties=species:S:1:pos:R:3 pbc="T T T"
Ba 0.000 0.000 0.000
Pt 3.366 3.366 3.366
Rh 1.683 1.683 1.683
```

Magnetic moment = 0.2 μB/cell
Final energy = -4.906 eV/atom

***

An optimized crystal structure of NaSeS2Cl. Source: Alexandria via LeMat-Bulk, functional PBE.

Cell and atoms, written as extended XYZ:
```
5
Lattice="-0.362 0.634 -5.006 -4.661 -1.963 0.089 -1.804 4.313 0.677" Properties=species:S:1:pos:R:3 pbc="T T T"
Na 0.000 0.000 0.000
S -2.331 -0.982 0.045
S -0.181 0.317 -2.503
Se -3.414 1.492 -2.120
Cl -0.902 2.157 0.338
```

Magnetic moment = 0.0 μB/cell
Formation energy (no corrections) = 77.12 kJ/mol of atoms

***

An optimized crystal structure of ErPaMo4. Source: Alexandria via LeMat-Bulk, functional PBE.

Cell and atoms, written as extended XYZ:
```
6
Lattice="-2.089 4.402 2.551 -3.449 3.347 -2.673 -5.327 0.117 1.363" Properties=species:S:1:pos:R:3 pbc="T T T"
Mo -4.125 4.860 0.093
Mo -5.065 3.241 2.115
Mo -6.794 4.919 0.776
Mo -5.747 2.713 -0.502
Pa 0.000 0.000 0.000
Er -2.716 1.967 0.310
```

Magnetic moment = 0.0 μB/cell
Final energy = -9.477 eV/atom

***

An optimized crystal structure of AlCdRh. Source: Alexandria via LeMat-Bulk, functional PBE.

Cell and atoms, written as extended XYZ:
```
3
Lattice="-1.987 1.934 -1.094 -0.833 -1.987 2.060 1.564 4.329 4.809" Properties=species:S:1:pos:R:3 pbc="T T T"
Rh -0.132 2.323 4.345
Al 1.504 4.163 4.624
Cd -1.063 2.118 1.614
```

Magnetic moment = 0.0 μB/cell
Final energy = -4.245 eV/atom

***

An optimized crystal structure of Pm2DyEr3S6. Source: Alexandria via LeMat-Bulk, functional PBE.

Cell and atoms, written as extended XYZ:
```
12
Lattice="-3.315 -1.864 -0.882 3.425 -6.920 1.755 -1.764 3.499 7.872" Properties=species:S:1:pos:R:3 pbc="T T T"
Pm -1.656 -3.827 5.668
Pm 0.001 -1.458 3.076
Dy -1.657 -0.932 -0.441
Er 0.055 -4.392 0.436
Er -3.355 -0.385 4.781
Er 1.701 -4.901 3.963
S 0.896 -4.708 6.580
S -0.742 -4.197 3.017
S -2.550 -0.578 2.164
S -4.194 -0.120 7.371
S 2.540 -5.165 1.373
S -0.912 -1.089 5.727
```

Magnetic moment = 0.0 μB/cell
Formation energy (no corrections) = -191.97 kJ/mol of atoms

***

An optimized crystal structure of CoSiSe. Source: Alexandria via LeMat-Bulk, functional PBE.

Cell and atoms, written as extended XYZ:
```
3
Lattice="6.237 0.003 -0.002 4.941 3.807 0.002 -5.556 -2.001 2.007" Properties=species:S:1:pos:R:3 pbc="T T T"
Co 1.412 0.481 0.000
Se 3.727 1.270 0.000
Si 6.040 2.058 0.000
```

Magnetic moment = 0.0 μB/cell
Formation energy (no corrections) = -9.52 kJ/mol of atoms